[1]
# BaZnRh (SCAN, single point on PBEsol structure)
# E = -29.26 eV/atom
# size of the total moment = 0.00 μB/f.u.
# calculated formation energy = -90 kJ/mol of formula units
data_BaZnRh
_chemical_formula_sum 'Ba1 Zn1 Rh1'
_space_group_name_H-M_alt 'P -6 m 2'
_space_group_IT_number 187
_space_group_name_Hall 'P -6 2'
_cell_length_a 4.2961
_cell_length_b 4.2961
_cell_length_c 4.6023
_cell_angle_alpha 90.00
_cell_angle_beta 90.00
_cell_angle_gamma 120.00
loop_
_atom_site_label
_atom_site_type_symbol
_atom_site_fract_x
_atom_site_fract_y
_atom_site_fract_z
Ba1 Ba 0.0000 0.0000 0.0000
Zn1 Zn 0.6667 0.3333 0.5000
Rh1 Rh 0.3333 0.6667 0.5000

---

[2]
# BaZnRh (SCAN, single point on PBEsol structure)
# E = -28.68 eV/atom
# size of the total moment = 0.00 μB/f.u.
# calculated formation energy = 77 kJ/mol of formula units
data_BaZnRh
_chemical_formula_sum 'Ba4 Zn4 Rh4'
_space_group_name_H-M_alt 'F -4 3 m'
_space_group_IT_number 216
_space_group_name_Hall 'F -4 2 3'
_cell_length_a 6.710
_cell_length_b 6.710
_cell_length_c 6.710
_cell_angle_alpha 90.00
_cell_angle_beta 90.00
_cell_angle_gamma 90.00
loop_
_atom_site_label
_atom_site_type_symbol
_atom_site_fract_x
_atom_site_fract_y
_atom_site_fract_z
Ba1 Ba 0.000 0.000 0.000
Zn1 Zn 0.250 0.250 0.250
Rh1 Rh 0.000 0.000 0.500

---

- Which of these has the highest calculated formation energy?
  number 2